(1)
# CeAgCl6 PBE relaxed
data_CeAgCl6
_chemical_formula_sum 'Ce1 Ag1 Cl6'
_symmetry_space_group_name_H-M 'P -1'
_symmetry_Int_Tables_number 2
_cell_length_a 6.3811
_cell_length_b 6.7755
_cell_length_c 7.0299
_cell_angle_alpha 63.29
_cell_angle_beta 89.72
_cell_angle_gamma 63.97
loop_
_symmetry_equiv_pos_as_xyz
'x,y,z'
'-x,-y,-z'
loop_
_atom_site_label
_atom_site_type_symbol
_atom_site_fract_x
_atom_site_fract_y
_atom_site_fract_z
Ce1 Ce 0.0000 0.0000 0.0000
Ag1 Ag 0.5000 0.0000 0.5000
Cl1 Cl 0.0630 0.5516 0.2269
Cl2 Cl 0.2664 0.8354 0.7490
Cl3 Cl 0.4092 0.8469 0.2663
# Uncorrected formation energy in kJ/mol of formula units: -988.6
# Calculated density in g cm⁻³: 3.23
# Volume in A^3/atom: 29.607
# Magnetization in μB/f.u.: 1.005
# DOS(E_F) in states/eV per atom: 0.299



(2)
# Rb2CuSi2S6 PBE relaxed
data_Rb2CuSi2S6
_chemical_formula_sum 'Rb6 Cu3 Si6 S18'
_symmetry_space_group_name_H-M 'R -3 m'
_symmetry_Int_Tables_number 166
_symmetry_space_group_name_Hall '-R 3 2"'
_cell_length_a 6.8659
_cell_length_b 6.8659
_cell_length_c 21.8705
_cell_angle_alpha 90.00
_cell_angle_beta 90.00
_cell_angle_gamma 120.00
loop_
_atom_site_label
_atom_site_type_symbol
_atom_site_fract_x
_atom_site_fract_y
_atom_site_fract_z
Rb1 Rb 0.0000 0.0000 0.2193
Cu1 Cu 0.0000 0.0000 0.0000
Si1 Si 0.0000 0.0000 0.4044
S1 S 0.0113 0.5056 0.7427
# Uncorrected formation energy in kJ/mol of formula units: -608.0
# Calculated density in g cm⁻³: 2.70
# Volume in A^3/atom: 27.056
# Magnetization in μB/f.u.: 0.009
# DOS(E_F) in states/eV per atom: 0.690